Material: CdRe2Si
Method: DFT, GGA-PBEsol
State: optimized geometry

```
CdRe2Si
1.0
3.0066 0.0000 0.0000
0.0000 4.3733 0.0000
0.0000 0.0000 9.1580
Cd Re Si
2 4 2
direct
0.0000 0.0000 0.0000 Cd
0.5000 0.5000 0.5000 Cd
0.0000 0.0000 0.5266 Re
0.0000 0.5000 0.7809 Re
0.5000 0.0000 0.2809 Re
0.5000 0.5000 0.0266 Re
0.0000 0.5000 0.2390 Si
0.5000 0.0000 0.7390 Si
```

Values from the calculation:
For the density of states at the Fermi level, the calculation gives 0.6130 states/eV/atom. For the uncorrected formation energy, the calculation gives 0.433 eV/atom. As for the energy above the most stable polymorph in this dataset: 98.3 kJ/mol of formula units. Its space group is Imm2.